# EuErRh4

Crystalline EuErRh4 at its relaxed geometry (PBE, Alexandria via LeMat-Bulk).

Calculated values
Energy of formation from the pure elements, eV per atom: -0.6004
Total moment, μB/f.u.: 6.9

a = 5.3606 Å, b = 5.3606 Å, c = 5.3606 Å
α = 60.00°, β = 60.00°, γ = 60.00°
With the nearest neighbours (Å) after each atom.
Positions (direct):
Eu1 0.0000 0.0000 0.0000  12 Rh 3.14, 4 Er 3.28
Er1 0.7500 0.7500 0.7500  12 Rh 3.14, 4 Eu 3.28
Rh1 0.3751 0.3751 0.3751  6 Rh 2.68
Rh2 0.3751 0.3751 0.8746  6 Rh 2.68
Rh3 0.3751 0.8746 0.3751  6 Rh 2.68
Rh4 0.8746 0.3751 0.3751  6 Rh 2.68